Record 1
{
  "formula": "ZrCrTeN2",
  "functional": "PBE",
  "state": "optimized geometry",
  "magnetic_moment_mub_per_fu": 0.4,
  "lattice": [[3.8922, 0.0000, 0.0000], [0.0000, 3.8922, 0.0000], [0.0000, 0.0000, 5.1729]],
  "species": ["Zr", "Cr", "Te", "N", "N"],
  "frac_coords": [[0.0000, 0.0000, 0.0000], [0.5000, 0.5000, 0.5000], [0.5000, 0.5000, 0.0000], [0.0000, 0.5000, 0.5000], [0.5000, 0.0000, 0.5000]]
}

Record 2
{
  "formula": "Th3CrN6",
  "functional": "PBE",
  "state": "optimized geometry",
  "magnetic_moment_mub_per_fu": 0.0,
  "lattice": [[4.6774, -5.9333, 0.0000], [4.6774, 5.9333, 0.0000], [0.0000, 0.0000, 5.6296]],
  "species": ["Th", "Th", "Th", "Th", "Th", "Th", "Cr", "Cr", "N", "N", "N", "N", "N", "N", "N", "N", "N", "N", "N", "N"],
  "frac_coords": [[0.1036, 0.8964, 0.5000], [0.1942, 0.4070, 0.4745], [0.4070, 0.1942, 0.9745], [0.5930, 0.8058, 0.4745], [0.8058, 0.5930, 0.9745], [0.8964, 0.1036, 0.0000], [0.3054, 0.6946, 0.9209], [0.6946, 0.3054, 0.4209], [0.0974, 0.6117, 0.7750], [0.1521, 0.1666, 0.7329], [0.1666, 0.1521, 0.2329], [0.2927, 0.7073, 0.2350], [0.3883, 0.9026, 0.7750], [0.4425, 0.5575, 0.8071], [0.5575, 0.4425, 0.3071], [0.6117, 0.0974, 0.2750], [0.7073, 0.2927, 0.7350], [0.8334, 0.8479, 0.7329], [0.8479, 0.8334, 0.2329], [0.9026, 0.3883, 0.2750]]
}

Number 1: E -7.1266 eV per atom, formation energy (no corrections) 0.466 eV per atom. Number 2: E -9.5691 eV per atom, formation energy (no corrections) -1.386 eV per atom.